(1)
Compound: ZnFe3Pd
Source: Alexandria
Functional: PBE
Structure: optimized geometry

Computed properties:
Its space-group type is No. 221. Its formation energy from the elements is 1214 meV/atom. The value obtained for the size of the total moment is 9.8 Bohr magnetons per cell. For the relative energy among the computed polymorphs, the calculation gives 0.095 eV/atom. For the total energy, the calculation gives -5.157 eV/atom.

Cell: 4.638 4.638 4.638 Å, 90.00 90.00 90.00°
Fractional positions:
Zn (0.000, 0.000, 0.000)
Fe (0.000, 0.500, 0.500)
Fe (0.500, 0.000, 0.500)
Fe (0.500, 0.500, 0.000)
Pd (0.500, 0.500, 0.500)

(2)
Compound: CaGe2Ru
Source: Alexandria
Functional: PBE
Structure: optimized geometry

Computed properties:
Its space-group type is No. 123. Its formation energy from the elements is -318 meV/atom. The value obtained for the size of the total moment is 0.6 Bohr magnetons per cell. For the total energy, the calculation gives -5.446 eV/atom.

Cell: 3.208 3.208 7.060 Å, 90.00 90.00 90.00°
Fractional positions:
Ca (0.000, 0.000, 0.000)
Ge (0.500, 0.500, 0.303)
Ge (0.500, 0.500, 0.697)
Ru (0.000, 0.000, 0.500)